Record 1
A relaxed structure of CuW3. Source: Alexandria, functional PBEsol.

Calculated volume in Å³ per cell: 59.2
Excess energy over the best structure of this formula in the dataset in meV/atom: 24
DOS(E_F) in states/eV/cell: 2.352
Formation energy in meV per atom: 371

Unit cell a=2.6605 b=2.6605 c=8.3584 alpha=90.00 beta=90.00 gamma=90.00
Closest atoms and distances in Å follow each position.
Space group P4/mmm (No. 123)
Unique sites:
Cu  0.0000  0.0000  0.0000  4 Cu 2.66, 8 W 2.68
W  0.0000  0.0000  0.5000  12 W 2.66-2.95
W  0.5000  0.5000  0.2284  8 W 2.66-2.95, 4 Cu 2.68

Record 2
A relaxed structure of CuW. Source: Alexandria, functional PBEsol.

Calculated volume in Å³ per cell: 56.1
Excess energy over the best structure of this formula in the dataset in meV/atom: 9
DOS(E_F) in states/eV/cell: 2.739
Formation energy in meV per atom: 370

Unit cell a=2.7065 b=2.7065 c=8.8361 alpha=90.00 beta=90.00 gamma=120.00
Closest atoms and distances in Å follow each position.
Space group P-3m1 (No. 164)
Unique sites:
Cu  0.3333  0.6667  0.1134  9 Cu 2.54-2.71, 3 W 2.69
W  0.3333  0.6667  0.6382  3 Cu 2.69, 9 W 2.71-2.90

Record 3
A relaxed structure of CuW3. Source: Alexandria, functional PBEsol.

Calculated volume in Å³ per cell: 119.5
Excess energy over the best structure of this formula in the dataset in meV/atom: 38
DOS(E_F) in states/eV/cell: 4.508
Formation energy in meV per atom: 385

Unit cell a=9.1075 b=2.6308 c=5.0173 alpha=90.00 beta=96.45 gamma=90.00
Closest atoms and distances in Å follow each position.
Space group C2/m (No. 12)
Unique sites:
Cu  0.0000  0.0000  0.0000  2 Cu 2.63, 10 W 2.74-2.83
W  0.0000  0.5000  0.5000  8 W 2.63-2.87, 4 Cu 2.83
W  0.2431  0.5000  0.2407  9 W 2.63-2.91, 3 Cu 2.74-2.75

Record 4
A relaxed structure of CuW. Source: Alexandria, functional PBEsol.

Calculated volume in Å³ per cell: 27.0
Excess energy over the best structure of this formula in the dataset in meV/atom: 250
DOS(E_F) in states/eV/cell: 2.377
Formation energy in meV per atom: 611

Unit cell a=2.9998 b=2.9998 c=2.9998 alpha=90.00 beta=90.00 gamma=90.00
Closest atoms and distances in Å follow each position.
Space group Pm-3m (No. 221)
Unique sites:
Cu  0.0000  0.0000  0.0000  8 W 2.60
W  0.5000  0.5000  0.5000  8 Cu 2.60

Record 5
A relaxed structure of CuW3. Source: Alexandria, functional PBEsol.

Calculated volume in Å³ per cell: 118.9
Excess energy over the best structure of this formula in the dataset in meV/atom: 0
DOS(E_F) in states/eV/cell: 5.658
Formation energy in meV per atom: 347

Unit cell a=3.2592 b=4.3096 c=8.4675 alpha=90.00 beta=90.00 gamma=90.00
Closest atoms and distances in Å follow each position.
Space group Immm (No. 71)
Unique sites:
Cu  0.0000  0.0000  0.0000  12 W 2.70-2.99
W  0.0000  0.0000  0.5000  4 W 2.63, 4 Cu 2.70
W  0.0000  0.5000  0.2442  6 W 2.63-2.70, 2 Cu 2.71

Record 6
A relaxed structure of YCuW2. Source: Alexandria, functional PBEsol.

Calculated volume in Å³ per cell: 139.2
DOS(E_F) in states/eV/cell: 6.629
Formation energy in meV per atom: 586

Unit cell a=3.8461 b=3.8461 c=9.4105 alpha=90.00 beta=90.00 gamma=90.00
Closest atoms and distances in Å follow each position.
Space group I4/mmm (No. 139)
Unique sites:
Y  0.0000  0.0000  0.0000  4 Cu 2.72, 8 W 3.04
Cu  0.0000  0.0000  0.5000  4 Y 2.72, 8 W 3.04
W  0.0000  0.5000  0.2500  4 W 2.72, 4 Cu 3.04, 4 Y 3.04